Compound: NpSb2Rh
Source: the Alexandria database
Functional: PBE-GGA
Structure: relaxed

Calculated values
- Uncorrected formation energy: 0.38 eV per formula unit
- Uncorrected energy: -7.039 eV per atom

```
data_NpSb2Rh
_chemical_formula_sum 'Np3 Sb6 Rh3'
_symmetry_space_group_name_H-M 'R -3 m'
_symmetry_Int_Tables_number 166
_symmetry_space_group_name_Hall '-R 3 2"'
_cell_length_a 3.2644
_cell_length_b 3.2644
_cell_length_c 30.6582
_cell_angle_alpha 90.00
_cell_angle_beta 90.00
_cell_angle_gamma 120.00
loop_
_atom_site_label
_atom_site_type_symbol
_atom_site_fract_x
_atom_site_fract_y
_atom_site_fract_z
Np1 Np 0.0000 0.0000 0.0000
Sb1 Sb 0.0000 0.0000 0.1029
Rh1 Rh 0.0000 0.0000 0.5000
```

***

Compound: ZnInFe
Source: the Alexandria database
Functional: PBE-GGA
Structure: relaxed

Calculated values
- Uncorrected energy: -3.912 eV per atom
- ΔE to the lowest computed polymorph: 6 meV per atom
- Formation energy from the elements: 0.25 eV/atom

```
data_ZnInFe
_chemical_formula_sum 'Zn2 In2 Fe2'
_symmetry_space_group_name_H-M 'I m m 2'
_symmetry_Int_Tables_number 44
_cell_length_a 2.9786
_cell_length_b 3.3368
_cell_length_c 9.7585
_cell_angle_alpha 90.00
_cell_angle_beta 90.00
_cell_angle_gamma 90.00
loop_
_symmetry_equiv_pos_as_xyz
'x,y,z'
'-x,-y,z'
'-x,y,z'
'x,-y,z'
'x+1/2,y+1/2,z+1/2'
'-x+1/2,-y+1/2,z+1/2'
'-x+1/2,y+1/2,z+1/2'
'x+1/2,-y+1/2,z+1/2'
loop_
_atom_site_label
_atom_site_type_symbol
_atom_site_fract_x
_atom_site_fract_y
_atom_site_fract_z
Zn1 Zn 0.0000 0.0000 0.0000
In1 In 0.0000 0.0000 0.3002
Fe1 Fe 0.0000 0.0000 0.6248
```

***

The lowest uncorrected energy belongs to which entry?
NpSb2Rh